No. 1
Compound: ScPd2Pb
Source: OQMD via LeMat-Bulk
Functional: PBE-GGA
Structure: optimized geometry

Output
crystal system = tetragonal
SG = P4/mmm (123)
E_tot = -0.417 Ry/atom

Geometry as CIF:
```
data_ScPd2Pb
_chemical_formula_sum 'Sc1 Pd2 Pb1'
_space_group_name_H-M_alt 'P 1'
_space_group_IT_number 1
_space_group_name_Hall 'P 1'
_cell_length_a 4.526
_cell_length_b 4.526
_cell_length_c 3.711
_cell_angle_alpha 90.00
_cell_angle_beta 90.00
_cell_angle_gamma 90.00
loop_
_atom_site_label
_atom_site_type_symbol
_atom_site_fract_x
_atom_site_fract_y
_atom_site_fract_z
Pd1 Pd 0.500 0.000 0.500
Pd2 Pd 0.000 0.500 0.500
Pb1 Pb 0.500 0.500 0.000
Sc1 Sc 0.000 0.000 0.000
```

No. 2
Compound: ScPdPbSe3
Source: OQMD via LeMat-Bulk
Functional: PBE-GGA
Structure: optimized geometry

Output
crystal system = orthorhombic
SG = Cmcm (63)
E_tot = -0.380 Ry/atom

Geometry as CIF:
```
data_ScPdPbSe3
_chemical_formula_sum 'Sc2 Pd2 Pb2 Se6'
_space_group_name_H-M_alt 'P 1'
_space_group_IT_number 1
_space_group_name_Hall 'P 1'
_cell_length_a 7.178
_cell_length_b 7.178
_cell_length_c 10.434
_cell_angle_alpha 90.00
_cell_angle_beta 90.00
_cell_angle_gamma 148.99
loop_
_atom_site_label
_atom_site_type_symbol
_atom_site_fract_x
_atom_site_fract_y
_atom_site_fract_z
Pd1 Pd 0.456 0.544 0.750
Pd2 Pd 0.544 0.456 0.250
Se1 Se 0.076 0.924 0.750
Se2 Se 0.638 0.362 0.037
Se3 Se 0.362 0.638 0.963
Se4 Se 0.638 0.362 0.463
Se5 Se 0.362 0.638 0.537
Se6 Se 0.924 0.076 0.250
Pb1 Pb 0.782 0.218 0.750
Pb2 Pb 0.218 0.782 0.250
Sc1 Sc 0.000 0.000 0.500
Sc2 Sc 0.000 0.000 0.000
```

No. 3
Compound: ScTe3PdPb
Source: OQMD via LeMat-Bulk
Functional: PBE-GGA
Structure: optimized geometry

Output
crystal system = orthorhombic
SG = Cmcm (63)
excess energy over the best structure of this formula in the dataset = 0 meV per atom

Geometry as CIF:
```
data_ScTe3PdPb
_chemical_formula_sum 'Sc2 Te6 Pd2 Pb2'
_space_group_name_H-M_alt 'P 1'
_space_group_IT_number 1
_space_group_name_Hall 'P 1'
_cell_length_a 7.694
_cell_length_b 7.694
_cell_length_c 11.039
_cell_angle_alpha 90.00
_cell_angle_beta 90.00
_cell_angle_gamma 149.63
loop_
_atom_site_label
_atom_site_type_symbol
_atom_site_fract_x
_atom_site_fract_y
_atom_site_fract_z
Pd1 Pd 0.954 0.046 0.750
Pd2 Pd 0.046 0.954 0.250
Te1 Te 0.423 0.577 0.250
Te2 Te 0.140 0.860 0.464
Te3 Te 0.860 0.140 0.964
Te4 Te 0.140 0.860 0.036
Te5 Te 0.577 0.423 0.750
Te6 Te 0.860 0.140 0.536
Sc1 Sc 0.500 0.500 0.500
Sc2 Sc 0.500 0.500 0.000
Pb1 Pb 0.705 0.295 0.250
Pb2 Pb 0.295 0.705 0.750
```

No. 4
Compound: ScTe3PdPb
Source: OQMD via LeMat-Bulk
Functional: PBE-GGA
Structure: optimized geometry

Output
crystal system = monoclinic
SG = P2_1/m (11)
excess energy over the best structure of this formula in the dataset = 20 meV per atom

Geometry as CIF:
```
data_ScTe3PdPb
_chemical_formula_sum 'Sc2 Te6 Pd2 Pb2'
_space_group_name_H-M_alt 'P 1'
_space_group_IT_number 1
_space_group_name_Hall 'P 1'
_cell_length_a 8.240
_cell_length_b 4.089
_cell_length_c 10.557
_cell_angle_alpha 90.00
_cell_angle_beta 108.28
_cell_angle_gamma 90.00
loop_
_atom_site_label
_atom_site_type_symbol
_atom_site_fract_x
_atom_site_fract_y
_atom_site_fract_z
Pd1 Pd 0.409 0.250 0.901
Pd2 Pd 0.591 0.750 0.099
Sc1 Sc 0.207 0.750 0.678
Sc2 Sc 0.793 0.250 0.322
Te1 Te 0.447 0.250 0.653
Te2 Te 0.931 0.250 0.623
Te3 Te 0.770 0.250 0.043
Te4 Te 0.553 0.750 0.347
Te5 Te 0.230 0.750 0.957
Te6 Te 0.069 0.750 0.377
Pb1 Pb 0.232 0.250 0.213
Pb2 Pb 0.768 0.750 0.787
```

No. 5
Compound: SiPdPb
Source: OQMD via LeMat-Bulk
Functional: PBE-GGA
Structure: optimized geometry

Output
crystal system = cubic
SG = F-43m (216)
E_tot = -0.339 Ry/atom

Geometry as CIF:
```
data_SiPdPb
_chemical_formula_sum 'Si1 Pd1 Pb1'
_space_group_name_H-M_alt 'P 1'
_space_group_IT_number 1
_space_group_name_Hall 'P 1'
_cell_length_a 4.512
_cell_length_b 4.512
_cell_length_c 4.512
_cell_angle_alpha 60.00
_cell_angle_beta 60.00
_cell_angle_gamma 60.00
loop_
_atom_site_label
_atom_site_type_symbol
_atom_site_fract_x
_atom_site_fract_y
_atom_site_fract_z
Pd1 Pd 0.750 0.750 0.750
Pb1 Pb 0.250 0.250 0.250
Si1 Si 0.000 0.000 0.000
```

No. 6
Compound: SiPd2Pb
Source: OQMD via LeMat-Bulk
Functional: PBE-GGA
Structure: optimized geometry

Output
crystal system = monoclinic
SG = P2_1/m (11)
excess energy over the best structure of this formula in the dataset = 0 meV per atom

Geometry as CIF:
```
data_SiPd2Pb
_chemical_formula_sum 'Si2 Pd4 Pb2'
_space_group_name_H-M_alt 'P 1'
_space_group_IT_number 1
_space_group_name_Hall 'P 1'
_cell_length_a 6.141
_cell_length_b 3.808
_cell_length_c 6.521
_cell_angle_alpha 90.00
_cell_angle_beta 90.08
_cell_angle_gamma 90.00
loop_
_atom_site_label
_atom_site_type_symbol
_atom_site_fract_x
_atom_site_fract_y
_atom_site_fract_z
Si1 Si 0.253 0.250 0.600
Si2 Si 0.747 0.750 0.400
Pb1 Pb 0.246 0.750 0.079
Pb2 Pb 0.754 0.250 0.921
Pd1 Pd 0.014 0.750 0.676
Pd2 Pd 0.487 0.750 0.680
Pd3 Pd 0.513 0.250 0.320
Pd4 Pd 0.986 0.250 0.324
```

No. 7
Compound: SiPd2Pb
Source: OQMD via LeMat-Bulk
Functional: PBE-GGA
Structure: optimized geometry

Output
crystal system = orthorhombic
SG = Pmn2_1 (31)
excess energy over the best structure of this formula in the dataset = 30 meV per atom

Geometry as CIF:
```
data_SiPd2Pb
_chemical_formula_sum 'Si2 Pd4 Pb2'
_space_group_name_H-M_alt 'P 1'
_space_group_IT_number 1
_space_group_name_Hall 'P 1'
_cell_length_a 3.490
_cell_length_b 6.679
_cell_length_c 6.280
_cell_angle_alpha 90.00
_cell_angle_beta 90.00
_cell_angle_gamma 90.00
loop_
_atom_site_label
_atom_site_type_symbol
_atom_site_fract_x
_atom_site_fract_y
_atom_site_fract_z
Si1 Si 0.000 0.941 0.423
Si2 Si 0.500 0.059 0.923
Pd1 Pd 0.500 0.189 0.308
Pd2 Pd 0.000 0.209 0.693
Pd3 Pd 0.500 0.791 0.193
Pd4 Pd 0.000 0.811 0.808
Pb1 Pb 0.500 0.542 0.576
Pb2 Pb 0.000 0.458 0.076
```

No. 8
Compound: SiPd2Pb
Source: OQMD via LeMat-Bulk
Functional: PBE-GGA
Structure: optimized geometry

Output
crystal system = orthorhombic
SG = Pmc2_1 (26)
excess energy over the best structure of this formula in the dataset = 132 meV per atom

Geometry as CIF:
```
data_SiPd2Pb
_chemical_formula_sum 'Si2 Pd4 Pb2'
_space_group_name_H-M_alt 'P 1'
_space_group_IT_number 1
_space_group_name_Hall 'P 1'
_cell_length_a 3.821
_cell_length_b 6.681
_cell_length_c 5.895
_cell_angle_alpha 90.00
_cell_angle_beta 90.00
_cell_angle_gamma 90.00
loop_
_atom_site_label
_atom_site_type_symbol
_atom_site_fract_x
_atom_site_fract_y
_atom_site_fract_z
Si1 Si 0.500 0.613 0.205
Si2 Si 0.500 0.387 0.705
Pb1 Pb 0.000 0.849 0.830
Pb2 Pb 0.000 0.151 0.330
Pd1 Pd 0.500 0.880 0.465
Pd2 Pd 0.500 0.120 0.965
Pd3 Pd 0.000 0.456 0.999
Pd4 Pd 0.000 0.544 0.499
```

No. 9
Compound: Zr2SiPd2Pb
Source: OQMD via LeMat-Bulk
Functional: PBE-GGA
Structure: optimized geometry

Output
crystal system = monoclinic
SG = Pm (6)
E_tot = -0.493 Ry/atom

Geometry as CIF:
```
data_Zr2SiPd2Pb
_chemical_formula_sum 'Zr8 Si4 Pd8 Pb4'
_space_group_name_H-M_alt 'P 1'
_space_group_IT_number 1
_space_group_name_Hall 'P 1'
_cell_length_a 10.887
_cell_length_b 4.443
_cell_length_c 10.916
_cell_angle_alpha 90.00
_cell_angle_beta 109.50
_cell_angle_gamma 90.00
loop_
_atom_site_label
_atom_site_type_symbol
_atom_site_fract_x
_atom_site_fract_y
_atom_site_fract_z
Zr1 Zr 0.741 0.500 0.492
Zr2 Zr 0.251 0.500 0.010
Zr3 Zr 0.370 0.000 0.371
Zr4 Zr 0.506 0.500 0.752
Zr5 Zr 0.882 0.000 0.889
Zr6 Zr 0.619 0.000 0.124
Zr7 Zr 0.128 0.000 0.616
Zr8 Zr 0.003 0.500 0.252
Pd1 Pd 0.639 0.000 0.889
Pd2 Pd 0.253 0.500 0.734
Pd3 Pd 0.874 0.000 0.624
Pd4 Pd 0.005 0.500 0.015
Pd5 Pd 0.132 0.000 0.372
Pd6 Pd 0.736 0.500 0.236
Pd7 Pd 0.486 0.500 0.487
Pd8 Pd 0.372 0.000 0.134
Pb1 Pb 0.624 0.000 0.626
Pb2 Pb 0.003 0.500 0.754
Pb3 Pb 0.374 0.000 0.875
Pb4 Pb 0.873 0.000 0.371
Si1 Si 0.251 0.500 0.497
Si2 Si 0.752 0.500 0.003
Si3 Si 0.126 0.000 0.129
Si4 Si 0.497 0.500 0.249
```

No. 10
Compound: Sm2PdPb
Source: OQMD via LeMat-Bulk
Functional: PBE-GGA
Structure: optimized geometry

Output
crystal system = orthorhombic
SG = Amm2 (38)
E_tot = -0.383 Ry/atom

Geometry as CIF:
```
data_Sm2PdPb
_chemical_formula_sum 'Sm2 Pd1 Pb1'
_space_group_name_H-M_alt 'P 1'
_space_group_IT_number 1
_space_group_name_Hall 'P 1'
_cell_length_a 4.561
_cell_length_b 6.141
_cell_length_c 6.141
_cell_angle_alpha 39.40
_cell_angle_beta 90.00
_cell_angle_gamma 90.00
loop_
_atom_site_label
_atom_site_type_symbol
_atom_site_fract_x
_atom_site_fract_y
_atom_site_fract_z
Pd1 Pd 0.500 0.589 0.589
Sm1 Sm 0.000 0.139 0.139
Sm2 Sm 0.500 0.853 0.853
Pb1 Pb 0.000 0.419 0.419
```

Number 6 is which compound?
SiPd2Pb